No. 1
Density functional theory data (GGA+U) for an optimized crystal structure of Na9W13O39.

Calculated values
- Total moment: 18.0 μB per cell
- Density of states at the Fermi level: 0.2 states/eV/f.u.
- Electronic total energy: -421.73 eV per formula unit
- Crystal system: monoclinic

Structure (CIF):
```
data_Na9W13O39
_cell_length_a 23.054
_cell_length_b 5.568
_cell_length_c 13.099
_cell_angle_alpha 90.00
_cell_angle_beta 108.08
_cell_angle_gamma 90.00
_space_group_name_H-M_alt 'C 1 2/m 1'
_space_group_IT_number 12
_space_group_name_Hall '-C 2y'
loop_
_atom_site_label
_atom_site_type_symbol
_atom_site_fract_x
_atom_site_fract_y
_atom_site_fract_z
Na1 Na 0.000 0.000 0.000
Na2 Na 0.039 0.500 0.384
Na3 Na 0.117 0.500 0.154
Na4 Na 0.154 0.000 0.537
Na5 Na 0.193 0.500 0.923
W1 W 0.000 0.000 0.500
W2 W 0.039 0.500 0.884
W3 W 0.077 0.000 0.270
W4 W 0.116 0.500 0.653
W5 W 0.155 0.000 0.039
W6 W 0.194 0.500 0.423
W7 W 0.229 0.000 0.805
O1 O 0.000 0.500 0.000
O2 O 0.024 0.250 0.190
O3 O 0.040 0.000 0.380
O4 O 0.059 0.259 0.575
O5 O 0.075 0.500 0.772
O6 O 0.097 0.250 0.971
O7 O 0.117 0.000 0.158
O8 O 0.133 0.251 0.349
O9 O 0.153 0.500 0.536
O10 O 0.171 0.256 0.728
O11 O 0.189 0.000 0.926
O12 O 0.211 0.248 0.113
O13 O 0.229 0.500 0.313
O14 O 0.250 0.250 0.500
```

***

No. 2
Density functional theory data (GGA+U) for an optimized crystal structure of Na3W2O8.

Calculated values
- Total moment: 3.4 μB per cell
- Density of states at the Fermi level: 11.8 states/eV/f.u.
- Electronic total energy: -81.13 eV per formula unit
- Crystal system: trigonal

Structure (CIF):
```
data_Na3W2O8
_cell_length_a 6.0973
_cell_length_b 6.0973
_cell_length_c 18.8281
_cell_angle_alpha 90.00
_cell_angle_beta 90.00
_cell_angle_gamma 120.00
_space_group_name_H-M_alt 'R -3 m'
_space_group_IT_number 166
_space_group_name_Hall '-R 3 2"'
loop_
_atom_site_label
_atom_site_type_symbol
_atom_site_fract_x
_atom_site_fract_y
_atom_site_fract_z
Na1 Na 0.0000 0.0000 0.0000
Na2 Na 0.0000 0.0000 0.1775
W1 W 0.0000 0.0000 0.3957
O1 O 0.0000 0.0000 0.2995
O2 O 0.0071 0.5035 0.2395
```

***

No. 3
Density functional theory data (GGA+U) for an optimized crystal structure of Na4WO5.

Calculated values
- Total moment: 0.0 μB per cell
- Density of states at the Fermi level: 0.0 states/eV/f.u.
- Electronic total energy: -56.48 eV per formula unit
- Crystal system: triclinic

Structure (CIF):
```
data_Na4WO5
_cell_length_a 5.747
_cell_length_b 6.546
_cell_length_c 7.354
_cell_angle_alpha 103.68
_cell_angle_beta 98.84
_cell_angle_gamma 106.12
_space_group_name_H-M_alt 'P -1'
_space_group_IT_number 2
_space_group_name_Hall '-P 1'
loop_
_atom_site_label
_atom_site_type_symbol
_atom_site_fract_x
_atom_site_fract_y
_atom_site_fract_z
Na1 Na 0.000 0.000 0.000
Na2 Na 0.000 0.500 0.000
Na3 Na 0.183 0.395 0.391
Na4 Na 0.199 0.895 0.397
Na5 Na 0.405 0.802 0.798
W1 W 0.396 0.295 0.792
O1 O 0.145 0.011 0.729
O2 O 0.151 0.432 0.713
O3 O 0.344 0.382 0.078
O4 O 0.351 0.822 0.116
O5 O 0.487 0.270 0.553
```

***

No. 4
Density functional theory data (GGA+U) for an optimized crystal structure of NaW2O6.

Calculated values
- Total moment: 1.6 μB per cell
- Energy above the most stable polymorph in this dataset: 0.004 eV/atom
- Density of states at the Fermi level: 1.5 states/eV/f.u.
- Electronic total energy: -63.56 eV per formula unit
- Crystal system: orthorhombic

Structure (CIF):
```
data_NaW2O6
_cell_length_a 5.527
_cell_length_b 7.814
_cell_length_c 5.527
_cell_angle_alpha 90.00
_cell_angle_beta 90.00
_cell_angle_gamma 90.00
_space_group_name_H-M_alt 'I m m 2'
_space_group_IT_number 44
_space_group_name_Hall 'I 2 -2'
loop_
_atom_site_label
_atom_site_type_symbol
_atom_site_fract_x
_atom_site_fract_y
_atom_site_fract_z
Na1 Na 0.000 0.000 0.000
W1 W 0.000 0.250 0.501
O1 O 0.000 0.000 0.498
O2 O 0.000 0.500 0.503
O3 O 0.250 0.249 0.751
```

***

No. 5
Density functional theory data (GGA+U) for an optimized crystal structure of Na2WO.

Calculated values
- Total moment: 13.5 μB per cell
- Density of states at the Fermi level: 2.0 states/eV/f.u.
- Electronic total energy: -15.61 eV per formula unit
- Crystal system: tetragonal

Structure (CIF):
```
data_Na2WO
_cell_length_a 10.025
_cell_length_b 10.025
_cell_length_c 4.046
_cell_angle_alpha 90.00
_cell_angle_beta 90.00
_cell_angle_gamma 90.00
_space_group_name_H-M_alt 'I -4 2 d'
_space_group_IT_number 122
_space_group_name_Hall 'I -4 2bw'
loop_
_atom_site_label
_atom_site_type_symbol
_atom_site_fract_x
_atom_site_fract_y
_atom_site_fract_z
Na1 Na 0.093 0.750 0.125
W1 W 0.000 0.000 0.500
O1 O 0.000 0.000 0.000
```

***

No. 6
Density functional theory data (GGA+U) for an optimized crystal structure of Na3W4O6.

Calculated values
- Total moment: 19.9 μB per cell
- Energy above the most stable polymorph in this dataset: 0.000 eV/atom
- Density of states at the Fermi level: 0.5 states/eV/f.u.
- Electronic total energy: -74.77 eV per formula unit
- Crystal system: orthorhombic

Structure (CIF):
```
data_Na3W4O6
_cell_length_a 7.712
_cell_length_b 8.049
_cell_length_c 6.567
_cell_angle_alpha 90.00
_cell_angle_beta 90.00
_cell_angle_gamma 90.00
_space_group_name_H-M_alt 'I m m 2'
_space_group_IT_number 44
_space_group_name_Hall 'I 2 -2'
loop_
_atom_site_label
_atom_site_type_symbol
_atom_site_fract_x
_atom_site_fract_y
_atom_site_fract_z
Na1 Na 0.000 0.000 0.000
Na2 Na 0.000 0.000 0.461
Na3 Na 0.000 0.500 0.018
W1 W 0.238 0.251 0.735
O1 O 0.000 0.241 0.227
O2 O 0.206 0.000 0.727
O3 O 0.215 0.500 0.750
```

***

No. 7
Density functional theory data (GGA+U) for an optimized crystal structure of Na5W6O18.

Calculated values
- Total moment: 20.0 μB per cell
- Density of states at the Fermi level: 1.8 states/eV/f.u.
- Electronic total energy: -197.05 eV per formula unit
- Crystal system: orthorhombic

Structure (CIF):
```
data_Na5W6O18
_cell_length_a 7.816
_cell_length_b 11.077
_cell_length_c 16.912
_cell_angle_alpha 90.00
_cell_angle_beta 90.00
_cell_angle_gamma 90.00
_space_group_name_H-M_alt 'C m c m'
_space_group_IT_number 63
_space_group_name_Hall '-C 2c 2'
loop_
_atom_site_label
_atom_site_type_symbol
_atom_site_fract_x
_atom_site_fract_y
_atom_site_fract_z
Na1 Na 0.000 0.123 0.250
Na2 Na 0.000 0.126 0.583
Na3 Na 0.000 0.375 0.084
W1 W 0.248 0.373 0.250
W2 W 0.250 0.124 0.084
O1 O 0.000 0.110 0.067
O2 O 0.000 0.145 0.750
O3 O 0.000 0.363 0.594
O4 O 0.000 0.393 0.250
O5 O 0.213 0.500 0.000
O6 O 0.216 0.247 0.164
O7 O 0.230 0.004 0.663
O8 O 0.250 0.250 0.000
```

***

No. 8
Density functional theory data (GGA+U) for an optimized crystal structure of Na5W14O42.

Calculated values
- Total moment: 3.6 μB per cell
- Density of states at the Fermi level: 4.5 states/eV/f.u.
- Electronic total energy: -438.55 eV per formula unit
- Crystal system: monoclinic

Structure (CIF):
```
data_Na5W14O42
_cell_length_a 38.928
_cell_length_b 7.783
_cell_length_c 5.504
_cell_angle_alpha 90.00
_cell_angle_beta 98.12
_cell_angle_gamma 90.00
_space_group_name_H-M_alt 'C 1 2/m 1'
_space_group_IT_number 12
_space_group_name_Hall '-C 2y'
loop_
_atom_site_label
_atom_site_type_symbol
_atom_site_fract_x
_atom_site_fract_y
_atom_site_fract_z
Na1 Na 0.000 0.000 0.000
Na2 Na 0.072 0.500 0.570
Na3 Na 0.214 0.000 0.715
W1 W 0.000 0.250 0.500
W2 W 0.072 0.249 0.072
W3 W 0.143 0.250 0.643
W4 W 0.214 0.251 0.214
O1 O 0.000 0.000 0.500
O2 O 0.000 0.500 0.500
O3 O 0.036 0.250 0.287
O4 O 0.036 0.250 0.789
O5 O 0.071 0.000 0.073
O6 O 0.072 0.500 0.074
O7 O 0.107 0.253 0.361
O8 O 0.107 0.253 0.855
O9 O 0.142 0.500 0.643
O10 O 0.144 0.000 0.644
O11 O 0.179 0.247 0.431
O12 O 0.179 0.247 0.926
O13 O 0.214 0.000 0.214
O14 O 0.215 0.500 0.215
O15 O 0.250 0.250 0.000
O16 O 0.250 0.250 0.500
```